Compound: In12Ga2Hg5
Source: Alexandria via LeMat-Bulk
Functional: PBE
Structure: relaxed

a b c (Å): 6.8950 9.8972 9.6108
angles (deg): 117.93 90.00 110.39
With the nearest neighbours (Å) after each atom.
Fractional coordinates of all 19 atoms:
In 0.9697 0.9393 0.7804  2 Ga 2.87, 1 Hg 3.02
In 0.9282 0.3118 0.0010  1 Ga 2.95, 3 Hg 3.01-3.06, 1 In 3.14
In 0.0671 0.6615 0.4697  3 Hg 2.97-3.14, 3 In 3.24-3.29
In 0.3836 0.3118 0.0010  1 Ga 2.95, 3 Hg 3.01-3.06, 1 In 3.14
In 0.6164 0.6882 0.9990  1 Ga 2.95, 3 Hg 3.01-3.06, 1 In 3.14
In 0.0303 0.0607 0.2196  2 Ga 2.87, 1 Hg 3.02
In 0.4992 0.9983 0.6777  1 Hg 3.05, 2 In 3.29, 2 Ga 3.35
In 0.0718 0.6882 0.9990  1 Ga 2.95, 3 Hg 3.01-3.06, 1 In 3.14
In 0.5008 0.0017 0.3223  1 Hg 3.05, 2 In 3.29, 2 Ga 3.35
In 0.5943 0.6615 0.4697  3 Hg 2.97-3.14, 3 In 3.24-3.29
In 0.4057 0.3385 0.5303  3 Hg 2.97-3.14, 3 In 3.24-3.29
In 0.9329 0.3385 0.5303  3 Hg 2.97-3.14, 3 In 3.24-3.29
Ga 0.3134 0.0000 0.0000  1 Ga 2.57, 2 In 2.87
Ga 0.6866 0.0000 0.0000  1 Ga 2.57, 2 In 2.87
Hg 0.3314 0.6628 0.7373  6 In 3.05-3.14, 2 Ga 3.15
Hg 0.6686 0.3372 0.2627  6 In 3.05-3.14, 2 Ga 3.15
Hg 0.3154 0.6309 0.2116  7 In 2.97-3.06
Hg 0.6846 0.3691 0.7884  7 In 2.97-3.06
Hg 0.0000 0.0000 0.5000  2 In 3.02

Properties
magnetic moment	0.0	μB per formula unit
energy of formation	66	meV/atom
DFT total energy	-2.062	eV/atom
crystal system	monoclinic
space-group type	No. 12
relative energy among the computed polymorphs	42	meV/atom
density of states at the Fermi level	9.3	states/eV per cell